Here is LiCu3Cl4 after structural relaxation from Alexandria via LeMat-Bulk. Energies are from PBE.

Calculated values
Total energy, Ry per atom: -0.2531

Cell: 5.4307 5.4307 10.8919 Å, 90.00 90.00 90.00°
Space group I-42m (No. 121)
One atom of each set of equivalent atoms:
Li (0.0000, 0.0000, 0.0000) [2 per cell]
Cu (0.0000, 0.0000, 0.5000) [2 per cell]
Cu (0.0000, 0.5000, 0.2500) [4 per cell]
Cl (0.2463, 0.2463, 0.3732) [8 per cell]


Here is LiCuCl4 after structural relaxation from Alexandria via LeMat-Bulk. Energies are from PBE.

Calculated values
Total energy, Ry per atom: -0.1417

Cell: 8.4178 8.4178 8.4178 Å, 90.00 90.00 90.00°
Space group F-43m (No. 216)
One atom of each set of equivalent atoms:
Li (0.0000, 0.0000, 0.0000) [4 per cell]
Cu (0.2500, 0.2500, 0.2500) [4 per cell]
Cl (0.1249, 0.1249, 0.6249) [16 per cell]


Here is LiMnCuCl6 after structural relaxation from Alexandria via LeMat-Bulk. Energies are from PBE.

Calculated values
Total energy, Ry per atom: -0.2852

Cell: 6.5001 6.5001 10.1918 Å, 90.00 90.00 90.00°
Space group P4_2nm (No. 102)
One atom of each set of equivalent atoms:
Li (0.0000, 0.0000, 0.0000) [2 per cell]
Mn (0.0000, 0.0000, 0.6665) [2 per cell]
Cu (0.0000, 0.0000, 0.3241) [2 per cell]
Cl (0.1664, 0.1664, 0.4966) [4 per cell]
Cl (0.1743, 0.1743, 0.8182) [4 per cell]
Cl (0.1787, 0.1787, 0.1697) [4 per cell]


Here is Na2LiCu2Cl7 after structural relaxation from Alexandria via LeMat-Bulk. Energies are from PBE.

Calculated values
Total energy, Ry per atom: -0.2319

Cell: 6.8349 6.8176 12.0637 Å, 90.00 106.26 90.00°
Space group C2/m (No. 12)
One atom of each set of equivalent atoms:
Na (0.1298, 0.0000, 0.3581) [4 per cell]
Li (0.0000, 0.0000, 0.0000) [2 per cell]
Cu (0.0991, 0.5000, 0.2037) [4 per cell]
Cl (0.0000, 0.5000, 0.0000) [2 per cell]
Cl (0.1581, 0.2527, 0.8081) [8 per cell]
Cl (0.2127, 0.5000, 0.4059) [4 per cell]


Here is NaLiCuCl3 after structural relaxation from Alexandria via LeMat-Bulk. Energies are from PBE.

Calculated values
Total energy, Ry per atom: -0.2537

Cell: 7.5883 3.7111 9.0804 Å, 90.00 102.35 90.00°
Space group P2_1/m (No. 11)
One atom of each set of equivalent atoms:
Na (0.1896, 0.2500, 0.2163) [2 per cell]
Li (0.3532, 0.7500, 0.8754) [2 per cell]
Cu (0.0939, 0.2500, 0.5824) [2 per cell]
Cl (0.1025, 0.2500, 0.8414) [2 per cell]
Cl (0.2411, 0.7500, 0.5077) [2 per cell]
Cl (0.4303, 0.7500, 0.1499) [2 per cell]


Here is Na2LiCuCl5 after structural relaxation from Alexandria via LeMat-Bulk. Energies are from PBE.

Calculated values
Total energy, Ry per atom: -0.2421

Cell: 3.7474 18.4698 11.7224 Å, 90.00 90.00 90.00°
Space group Cmc2_1 (No. 36)
One atom of each set of equivalent atoms:
Na (0.0000, 0.1310, 0.0000) [4 per cell]
Na (0.0000, 0.1487, 0.3556) [4 per cell]
Li (0.0000, 0.2133, 0.7108) [4 per cell]
Cu (0.0000, 0.4440, 0.1119) [4 per cell]
Cl (0.0000, 0.0373, 0.7147) [4 per cell]
Cl (0.0000, 0.3015, 0.3459) [4 per cell]
Cl (0.0000, 0.3273, 0.0437) [4 per cell]
Cl (0.0000, 0.3417, 0.6810) [4 per cell]
Cl (0.0000, 0.4917, 0.4522) [4 per cell]


Here is NaLiCu2Cl4 after structural relaxation from Alexandria via LeMat-Bulk. Energies are from PBE.

Calculated values
Total energy, Ry per atom: -0.2520

Cell: 8.0755 8.0891 10.8522 Å, 90.00 90.00 90.00°
Space group Fmm2 (No. 42)
One atom of each set of equivalent atoms:
Na (0.0000, 0.0000, 0.0000) [4 per cell]
Li (0.0000, 0.0000, 0.5009) [4 per cell]
Cu (0.2500, 0.2500, 0.2503) [8 per cell]
Cl (0.0000, 0.2278, 0.3624) [8 per cell]
Cl (0.2283, 0.0000, 0.6391) [8 per cell]


Here is Li2NpCuCl6 after structural relaxation from Alexandria via LeMat-Bulk. Energies are from PBE.

Calculated values
Total energy, Ry per atom: -0.3399

Cell: 6.8728 6.3813 13.0893 Å, 90.00 121.23 90.00°
Space group P2_1/c (No. 14)
One atom of each set of equivalent atoms:
Li (0.2056, 0.0036, 0.2074) [4 per cell]
Np (0.5000, 0.0000, 0.0000) [2 per cell]
Cu (0.0000, 0.0000, 0.5000) [2 per cell]
Cl (0.1456, 0.7310, 0.3269) [4 per cell]
Cl (0.1596, 0.2076, 0.0107) [4 per cell]
Cl (0.4777, 0.7470, 0.1621) [4 per cell]


Here is Li2NpCuCl8 after structural relaxation from Alexandria via LeMat-Bulk. Energies are from PBE.

Calculated values
Total energy, Ry per atom: -0.3128

Cell: 8.1651 8.1651 8.7700 Å, 90.00 90.00 90.00°
Space group I-4m2 (No. 119)
One atom of each set of equivalent atoms:
Li (0.0000, 0.0000, 0.0000) [2 per cell]
Li (0.0000, 0.5000, 0.2500) [2 per cell]
Np (0.0000, 0.5000, 0.7500) [2 per cell]
Cu (0.0000, 0.0000, 0.5000) [2 per cell]
Cl (0.0000, 0.1962, 0.8171) [8 per cell]
Cl (0.0000, 0.2967, 0.4657) [8 per cell]


Here is Li4Cu4Cl10O after structural relaxation from Alexandria via LeMat-Bulk. Energies are from PBE.

Calculated values
Total energy, Ry per atom: -0.2585

Cell: 16.0926 14.5248 7.1343 Å, 90.00 97.49 90.00°
Space group C2/c (No. 15)
One atom of each set of equivalent atoms:
Li (0.2115, 0.1798, 0.3148) [8 per cell]
Li (0.2168, 0.4167, 0.1841) [8 per cell]
Cu (0.0774, 0.1750, 0.9159) [8 per cell]
Cu (0.0809, 0.3376, 0.6495) [8 per cell]
Cl (0.0000, 0.0646, 0.7500) [4 per cell]
Cl (0.0000, 0.4495, 0.7500) [4 per cell]
Cl (0.1125, 0.2897, 0.1275) [8 per cell]
Cl (0.1701, 0.2117, 0.6259) [8 per cell]
Cl (0.1740, 0.4338, 0.5312) [8 per cell]
Cl (0.1780, 0.0783, 0.0492) [8 per cell]
O (0.0000, 0.2550, 0.7500) [4 per cell]


Here is LiCuOsCl6 after structural relaxation from Alexandria via LeMat-Bulk. Energies are from PBE.

Calculated values
Total energy, Ry per atom: -0.2808

Cell: 6.1453 6.1453 11.1390 Å, 90.00 90.00 120.00°
Space group P-31c (No. 163)
One atom of each set of equivalent atoms:
Li (0.3333, 0.6667, 0.2500) [2 per cell]
Cu (0.0000, 0.0000, 0.0000) [2 per cell]
Os (0.3333, 0.6667, 0.7500) [2 per cell]
Cl (0.0183, 0.3539, 0.6276) [12 per cell]


Here is LiCuP2Cl after structural relaxation from Alexandria via LeMat-Bulk. Energies are from PBE.

Calculated values
Total energy, Ry per atom: -0.2195
Relative energy among the computed polymorphs, kcal/mol of atoms: 13.62

Cell: 4.3605 4.3605 4.6748 Å, 90.00 90.00 90.00°
Space group P4/mmm (No. 123)
One atom of each set of equivalent atoms:
Li (0.0000, 0.0000, 0.0000) [1 per cell]
Cu (0.5000, 0.5000, 0.5000) [1 per cell]
P (0.0000, 0.5000, 0.0000) [2 per cell]
Cl (0.0000, 0.0000, 0.5000) [1 per cell]